1.
! Ac4Ge5Pd2 | Alexandria | PBE | optimized geometry; values from VASP
! DFT formation energy ... -0.715 eV per atom
! Final energy ... -5.252 eV/atom
&SYSTEM
  ibrav = 0, nat = 11, ntyp = 3
/
ATOMIC_SPECIES
Pd 106.42 Pd.upf
Ac 227.00 Ac.upf
Ge 72.64 Ge.upf
ATOMIC_POSITIONS angstrom
Pd 6.045 -3.886 2.691
Pd 3.483 2.175 3.830
Ac 5.253 -2.606 5.819
Ac 4.000 1.372 6.899
Ac 1.713 -0.806 3.997
Ac 2.966 -4.784 2.917
Ge 5.042 0.175 4.009
Ge 1.080 -0.178 0.747
Ge 2.323 -2.932 0.292
Ge 8.448 -1.532 5.773
Ge 4.486 -1.886 2.512
CELL_PARAMETERS angstrom
-2.561 -1.702 3.296
4.647 -5.863 0.583
4.881 4.152 5.937

2.
! Ac3Ge2Pd4 | Alexandria | PBE | optimized geometry; values from VASP
! DFT formation energy ... -0.836 eV per atom
! Final energy ... -5.539 eV/atom
&SYSTEM
  ibrav = 0, nat = 9, ntyp = 3
/
ATOMIC_SPECIES
Pd 106.42 Pd.upf
Ge 72.64 Ge.upf
Ac 227.00 Ac.upf
ATOMIC_POSITIONS angstrom
Pd 2.866 1.934 0.725
Pd 6.534 3.931 1.662
Pd 1.019 -1.524 2.667
Pd 4.687 0.473 3.605
Ge 5.531 1.551 1.442
Ge 2.022 0.856 2.887
Ac 3.847 3.699 3.317
Ac 3.706 -1.292 1.013
Ac 0.000 0.000 0.000
CELL_PARAMETERS angstrom
-1.176 0.087 4.416
3.441 -4.858 -1.353
5.288 7.178 1.266

3.
! Ac3Ge3Pd | Alexandria | PBE | optimized geometry; values from VASP
! DFT formation energy ... -0.489 eV per atom
! Final energy ... -4.971 eV/atom
! Polymorph energy (0 for the lowest one) ... 291 meV per atom
&SYSTEM
  ibrav = 0, nat = 14, ntyp = 3
/
ATOMIC_SPECIES
Ge 72.64 Ge.upf
Pd 106.42 Pd.upf
Ac 227.00 Ac.upf
ATOMIC_POSITIONS angstrom
Ge 4.756 1.413 7.330
Ge 1.585 7.054 2.441
Ge 1.585 3.576 4.888
Ge 4.756 1.033 3.094
Ge 4.756 -2.445 5.541
Ge 1.585 3.196 0.653
Pd 4.756 0.000 5.321
Pd 1.585 4.608 2.661
Ac 1.585 0.988 2.963
Ac 1.585 1.548 7.356
Ac 4.756 3.621 5.019
Ac 4.756 7.145 2.337
Ac 4.756 3.060 0.626
Ac 1.585 -2.536 5.645
CELL_PARAMETERS angstrom
6.341 0.000 0.000
0.000 9.217 0.000
0.000 -4.608 7.982

4.
! Ac3Ge2Pd | Alexandria | PBE | optimized geometry; values from VASP
! DFT formation energy ... -0.603 eV per atom
! Final energy ... -5.062 eV/atom
! Polymorph energy (0 for the lowest one) ... 166 meV per atom
&SYSTEM
  ibrav = 0, nat = 12, ntyp = 3
/
ATOMIC_SPECIES
Ac 227.00 Ac.upf
Ge 72.64 Ge.upf
Pd 106.42 Pd.upf
ATOMIC_POSITIONS angstrom
Ac -0.283 -4.811 -1.515
Ac -3.533 -7.148 -3.801
Ac -4.730 -3.618 -1.225
Ac -0.429 -4.492 -6.002
Ac -1.480 -1.281 1.061
Ac -1.655 -0.952 -3.454
Ge -2.582 -4.042 -3.627
Ge -3.777 -0.513 -1.050
Ge -2.432 -4.388 0.887
Ge -1.236 -7.917 -1.691
Pd 0.588 -1.761 -1.298
Pd -2.673 -3.682 -8.159
CELL_PARAMETERS angstrom
-4.483 1.618 -4.310
2.399 -7.062 -5.147
-2.929 -2.986 6.716

5.
! AcGe2Pd3 | Alexandria | PBE | optimized geometry; values from VASP
! DFT formation energy ... -0.728 eV per atom
! Final energy ... -5.548 eV/atom
! Polymorph energy (0 for the lowest one) ... 51 meV per atom
&SYSTEM
  ibrav = 0, nat = 12, ntyp = 3
/
ATOMIC_SPECIES
Ge 72.64 Ge.upf
Pd 106.42 Pd.upf
Ac 227.00 Ac.upf
ATOMIC_POSITIONS angstrom
Ge -1.663 0.301 1.810
Ge -4.683 -6.051 -0.156
Ge -1.644 -3.813 2.181
Ge -4.702 -1.937 -0.527
Pd -2.210 -2.190 4.153
Pd -4.136 -3.560 -2.498
Pd -6.091 -4.001 -0.216
Pd -3.072 -4.082 0.047
Pd -0.255 -1.749 1.870
Pd -3.274 -1.668 1.607
Ac -4.742 -4.585 2.908
Ac -1.604 -1.165 -1.254
CELL_PARAMETERS angstrom
-3.075 2.334 1.764
-3.749 -3.909 -6.467
0.478 -4.175 6.358

6.
! AcGe3Pd3 | Alexandria | PBE | optimized geometry; values from VASP
! DFT formation energy ... -0.469 eV per atom
! Final energy ... -5.260 eV/atom
! Polymorph energy (0 for the lowest one) ... 7 meV per atom
&SYSTEM
  ibrav = 0, nat = 14, ntyp = 3
/
ATOMIC_SPECIES
Ge 72.64 Ge.upf
Pd 106.42 Pd.upf
Ac 227.00 Ac.upf
ATOMIC_POSITIONS angstrom
Ge -3.641 -9.176 -3.033
Ge -0.353 -7.649 -0.660
Ge -1.648 -7.930 -6.597
Ge -2.410 -5.104 -3.403
Ge 0.409 -10.475 -3.854
Ge 1.640 -6.403 -4.224
Pd 1.227 -8.390 -2.613
Pd -2.591 -7.123 -1.789
Pd -3.228 -7.189 -4.644
Pd 0.590 -8.455 -5.467
Pd -1.927 -9.803 -4.828
Pd -0.074 -5.776 -2.428
Ac -1.413 -10.569 -1.268
Ac -0.588 -5.010 -5.989
CELL_PARAMETERS angstrom
-3.800 -3.298 -4.547
2.919 -4.208 -4.445
-1.121 -8.073 1.735

7.
! AcGe3Pd10 | Alexandria | PBE | optimized geometry; values from VASP
! DFT formation energy ... -0.544 eV per atom
! Final energy ... -5.536 eV/atom
&SYSTEM
  ibrav = 0, nat = 28, ntyp = 3
/
ATOMIC_SPECIES
Pd 106.42 Pd.upf
Ge 72.64 Ge.upf
Ac 227.00 Ac.upf
ATOMIC_POSITIONS angstrom
Pd 5.145 1.146 8.912
Pd 1.678 4.745 6.006
Pd 1.678 4.745 2.906
Pd 0.895 2.532 7.362
Pd 7.495 2.808 8.912
Pd 2.795 4.469 8.912
Pd 0.895 2.532 1.550
Pd 0.000 0.000 3.101
Pd 6.320 4.469 10.947
Pd 5.928 2.532 4.456
Pd 6.320 4.469 6.877
Pd 5.033 0.000 2.906
Pd 0.000 0.000 5.811
Pd 2.685 0.000 1.550
Pd 2.685 0.000 7.362
Pd 3.970 2.808 6.877
Pd 4.363 4.745 4.456
Pd 5.145 6.131 8.912
Pd 3.970 2.808 10.947
Pd 5.033 0.000 6.006
Ge 2.709 1.915 8.912
Ge 6.364 1.915 6.802
Ge 3.927 5.361 6.802
Ge 3.927 5.361 11.022
Ge 6.364 1.915 11.022
Ge 7.582 5.361 8.912
Ac 7.718 5.457 13.368
Ac 2.573 1.819 4.456
CELL_PARAMETERS angstrom
7.718 0.000 4.456
2.573 7.277 4.456
0.000 0.000 8.912

8.
! AcGePd4 | Alexandria | PBE | optimized geometry; values from VASP
! DFT formation energy ... -0.481 eV per atom
! Final energy ... -5.397 eV/atom
! Polymorph energy (0 for the lowest one) ... 172 meV per atom
&SYSTEM
  ibrav = 0, nat = 6, ntyp = 3
/
ATOMIC_SPECIES
Pd 106.42 Pd.upf
Ac 227.00 Ac.upf
Ge 72.64 Ge.upf
ATOMIC_POSITIONS angstrom
Pd 6.869 3.966 2.804
Pd 5.487 3.168 0.547
Pd 5.487 1.572 2.804
Pd 4.104 3.966 2.804
Ac 2.743 1.584 1.120
Ge 0.000 0.000 0.000
CELL_PARAMETERS angstrom
5.487 0.000 0.000
2.743 4.752 0.000
2.743 1.584 4.480

9.
! Ac4Ge5Pd3 | Alexandria | PBE | optimized geometry; values from VASP
! DFT formation energy ... -0.659 eV per atom
! Final energy ... -5.250 eV/atom
&SYSTEM
  ibrav = 0, nat = 12, ntyp = 3
/
ATOMIC_SPECIES
Pd 106.42 Pd.upf
Ge 72.64 Ge.upf
Ac 227.00 Ac.upf
ATOMIC_POSITIONS angstrom
Pd -1.441 4.270 6.722
Pd -3.482 1.502 6.350
Pd -6.375 3.390 6.177
Ge -0.874 2.193 1.350
Ge -3.908 3.830 6.450
Ge -6.942 5.467 11.549
Ge -4.520 5.911 11.547
Ge -3.297 1.750 1.352
Ac -5.775 3.372 9.185
Ac -2.041 4.289 3.714
Ac -5.293 1.275 3.906
Ac -2.523 6.385 8.993
CELL_PARAMETERS angstrom
-0.852 4.657 0.199
-7.157 0.974 2.974
0.193 2.030 9.726

10.
! Ac2GePd4 | Alexandria | PBE | optimized geometry; values from VASP
! DFT formation energy ... -0.689 eV per atom
! Final energy ... -5.490 eV/atom
&SYSTEM
  ibrav = 0, nat = 7, ntyp = 3
/
ATOMIC_SPECIES
Pd 106.42 Pd.upf
Ge 72.64 Ge.upf
Ac 227.00 Ac.upf
ATOMIC_POSITIONS angstrom
Pd -0.050 0.050 2.439
Pd 3.018 3.166 1.923
Pd 1.658 1.784 0.000
Pd 4.378 4.547 0.000
Ge 0.115 6.023 0.000
Ac 3.110 0.006 2.181
Ac -0.110 3.176 2.181
CELL_PARAMETERS angstrom
6.288 -0.054 0.000
-0.152 6.286 0.000
-3.068 -3.116 4.362

11.
! Ac4Ge2Pd | Alexandria | PBE | optimized geometry; values from VASP
! DFT formation energy ... -0.356 eV per atom
! Final energy ... -4.765 eV/atom
! Polymorph energy (0 for the lowest one) ... 297 meV per atom
&SYSTEM
  ibrav = 0, nat = 7, ntyp = 3
/
ATOMIC_SPECIES
Ge 72.64 Ge.upf
Pd 106.42 Pd.upf
Ac 227.00 Ac.upf
ATOMIC_POSITIONS angstrom
Ge 1.956 -3.778 -1.356
Ge 5.721 -1.440 2.217
Pd 0.000 0.000 0.000
Ac 4.780 -4.489 -0.262
Ac 2.898 -0.729 1.123
Ac 0.816 -0.683 -2.550
Ac -0.823 -2.602 0.433
CELL_PARAMETERS angstrom
-1.646 -5.203 0.866
1.633 -1.365 -5.099
7.691 1.350 5.095

12.
! Ac12Ge6Pd | Alexandria | PBE | optimized geometry; values from VASP
! DFT formation energy ... -0.458 eV per atom
! Final energy ... -4.784 eV/atom
&SYSTEM
  ibrav = 0, nat = 19, ntyp = 3
/
ATOMIC_SPECIES
Ac 227.00 Ac.upf
Ge 72.64 Ge.upf
Pd 106.42 Pd.upf
ATOMIC_POSITIONS angstrom
Ac -0.246 0.581 -8.567
Ac -6.050 2.895 -6.734
Ac -8.491 0.470 -1.207
Ac -7.470 -5.874 -0.158
Ac -6.784 -1.826 -4.370
Ac -4.514 -3.073 -1.426
Ac -3.202 -2.221 -7.299
Ac -0.932 -3.467 -4.355
Ac 0.775 -5.763 -7.518
Ac -4.177 -5.669 -4.345
Ac -3.540 0.376 -4.380
Ac -1.667 -8.188 -1.991
Ge -2.291 -5.233 -6.943
Ge -5.426 -0.061 -1.782
Ge -5.744 -0.249 -6.912
Ge -1.973 -5.044 -1.813
Ge -0.767 -0.497 -5.638
Ge -6.949 -4.796 -3.087
Pd 0.000 0.000 0.000
CELL_PARAMETERS angstrom
-0.004 3.609 -8.440
1.299 -8.857 -2.029
-9.012 -0.045 1.744